[1]
Entry from Alexandria: a relaxed CdReMo2 crystal (PBE).

The formation energy is 0.562 eV per atom. As for the density of states at the Fermi level: 3.29 states/eV/f.u. Its total magnetization is 0.0 μB/cell.

abc: 4.5347 4.5347 4.5347
angles: 60.00 60.00 60.00
Element x y z (fractional)
Re 0.7500 0.7500 0.7500
Mo 0.0000 0.0000 0.0000
Mo 0.2500 0.2500 0.2500
Cd 0.5000 0.5000 0.5000



[2]
Entry from Alexandria: a relaxed CdReMo2 crystal (PBE).

The formation energy is 0.443 eV per atom. As for the density of states at the Fermi level: 3.68 states/eV/f.u. Its total magnetization is 0.0 μB/cell.

abc: 5.3410 5.3410 5.3410
angles: 145.09 129.55 62.82
Element x y z (fractional)
Re 0.7500 0.2500 0.5000
Mo 0.5186 0.5186 0.0000
Cd 0.2500 0.7500 0.5000
Mo 0.9814 0.9814 0.0000